Entry 1:
Density functional theory data (PBE) for a relaxed CaPm2Sm crystal.

Cell lengths 12.156, 3.686, 3.686 Å; angles 60.04, 90.00, 90.00 degrees
Fractional positions:
Ca1 0.000 0.000 0.000
Pm1 0.261 0.666 0.666
Pm2 0.739 0.666 0.666
Sm1 0.500 0.332 0.332

Output
The value obtained for the total DFT energy (no corrections) is -16.07 eV/f.u. The crystal system is orthorhombic.

Entry 2:
Density functional theory data (PBE) for a relaxed CaPm8Sm3 crystal.

Cell lengths 3.683, 9.134, 12.796 Å; angles 76.41, 89.96, 89.97 degrees
Fractional positions:
Ca1 0.000 0.000 0.000
Pm1 0.000 0.001 0.499
Pm2 0.001 0.331 0.611
Pm3 0.001 0.339 0.112
Pm4 0.499 0.669 0.638
Pm5 0.500 0.341 0.856
Pm6 0.500 0.659 0.143
Pm7 0.500 0.999 0.745
Pm8 0.999 0.669 0.388
Sm1 0.500 0.001 0.255
Sm2 0.500 0.332 0.361
Sm3 0.999 0.661 0.888

Output
The value obtained for the total DFT energy (no corrections) is -53.83 eV/f.u. The crystal system is triclinic.

Entry 3:
Density functional theory data (PBE) for a relaxed CaPm14Sm crystal.

Cell lengths 7.333, 7.333, 10.308 Å; angles 90.00, 90.00, 90.00 degrees
Fractional positions:
Ca1 0.000 0.000 0.000
Pm1 0.000 0.000 0.500
Pm2 0.000 0.500 0.000
Pm3 0.000 0.500 0.500
Pm4 0.253 0.253 0.253
Pm5 0.253 0.253 0.747
Pm6 0.253 0.747 0.253
Pm7 0.253 0.747 0.747
Pm8 0.500 0.000 0.000
Pm9 0.500 0.000 0.500
Pm10 0.500 0.500 0.500
Pm11 0.747 0.253 0.253
Pm12 0.747 0.253 0.747
Pm13 0.747 0.747 0.253
Pm14 0.747 0.747 0.747
Sm1 0.500 0.500 0.000

Output
The value obtained for the total DFT energy (no corrections) is -72.82 eV/f.u. The crystal system is tetragonal.

Entry 4:
Density functional theory data (PBE) for a relaxed CaPm2Sm4 crystal.

Cell lengths 21.219, 21.219, 21.219 Å; angles 9.88, 9.88, 9.88 degrees
Fractional positions:
Ca1 0.000 0.000 0.000
Pm1 0.430 0.430 0.430
Pm2 0.570 0.570 0.570
Sm1 0.144 0.144 0.144
Sm2 0.283 0.283 0.283
Sm3 0.717 0.717 0.717
Sm4 0.856 0.856 0.856

Output
The value obtained for the total DFT energy (no corrections) is -30.16 eV/f.u. The crystal system is trigonal.

Entry 5:
Density functional theory data (PBE) for a relaxed CaPm4Sm crystal.

Cell lengths 3.653, 5.220, 11.071 Å; angles 90.00, 90.00, 90.00 degrees
Fractional positions:
Ca1 0.000 0.000 0.000
Pm1 0.000 0.000 0.338
Pm2 0.000 0.000 0.662
Pm3 0.500 0.500 0.179
Pm4 0.500 0.500 0.821
Sm1 0.500 0.500 0.500

Output
The value obtained for the total DFT energy (no corrections) is -25.45 eV/f.u. The crystal system is orthorhombic.

Entry 6:
Density functional theory data (PBE) for a relaxed CaPm3Sm8 crystal.

Cell lengths 8.669, 8.669, 8.669 Å; angles 119.33, 119.33, 91.17 degrees
Fractional positions:
Ca1 0.000 0.000 0.000
Pm1 0.250 0.750 0.500
Pm2 0.500 0.500 0.000
Pm3 0.750 0.250 0.500
Sm1 0.136 0.136 0.717
Sm2 0.220 0.686 0.000
Sm3 0.314 0.314 0.535
Sm4 0.419 0.419 0.283
Sm5 0.581 0.864 0.000
Sm6 0.686 0.220 0.000
Sm7 0.780 0.780 0.465
Sm8 0.864 0.581 0.000

Output
The value obtained for the total DFT energy (no corrections) is -46.76 eV/f.u. The crystal system is tetragonal.

Entry 7:
Density functional theory data (PBE) for a relaxed CaPm3Sm2 crystal.

Cell lengths 6.355, 6.355, 12.165 Å; angles 110.44, 110.44, 70.23 degrees
Fractional positions:
Ca1 0.125 0.875 0.750
Ca2 0.875 0.125 0.250
Pm1 0.043 0.293 0.587
Pm2 0.293 0.043 0.087
Pm3 0.375 0.625 0.250
Pm4 0.625 0.375 0.750
Pm5 0.707 0.957 0.913
Pm6 0.957 0.707 0.413
Sm1 0.212 0.462 0.924
Sm2 0.462 0.212 0.424
Sm3 0.538 0.788 0.576
Sm4 0.788 0.538 0.076

Output
The value obtained for the total DFT energy (no corrections) is -25.35 eV/f.u. The crystal system is monoclinic.

Entry 8:
Density functional theory data (PBE) for a relaxed CaPm2Sm6 crystal.

Cell lengths 7.354, 9.121, 9.719 Å; angles 103.21, 100.89, 90.05 degrees
Fractional positions:
Ca1 0.213 0.333 0.353
Ca2 0.787 0.667 0.647
Pm1 0.380 0.334 0.016
Pm2 0.420 0.996 0.165
Pm3 0.580 0.004 0.835
Pm4 0.620 0.666 0.984
Sm1 0.046 0.328 0.689
Sm2 0.087 0.004 0.837
Sm3 0.122 0.667 0.984
Sm4 0.249 0.991 0.503
Sm5 0.287 0.671 0.652
Sm6 0.452 0.671 0.314
Sm7 0.548 0.329 0.686
Sm8 0.713 0.329 0.348
Sm9 0.751 0.009 0.497
Sm10 0.878 0.333 0.016
Sm11 0.913 0.996 0.163
Sm12 0.954 0.672 0.311

Output
The value obtained for the total DFT energy (no corrections) is -39.53 eV/f.u. The crystal system is triclinic.

| no. | energy relative to the elements (eV/atom) | calculated volume (Å³/cell) |
| --- | --- | --- |
| 1 | 0.039 | 143.1 |
| 2 | 0.028 | 418.4 |
| 3 | 0.026 | 554.3 |
| 4 | 0.032 | 244.3 |
| 5 | 0.046 | 211.1 |
| 6 | 0.604 | 465.3 |
| 7 | 0.056 | 418.1 |
| 8 | 0.032 | 622.6 |